Entry 1:
! Cr2CuNi9 PBE-GGA relaxed; values from VASP
&SYSTEM
  ibrav = 0, nat = 12, ntyp = 3
/
ATOMIC_SPECIES
Cr 52.00 Cr.upf
Cu 63.55 Cu.upf
Ni 58.69 Ni.upf
CELL_PARAMETERS angstrom
3.5404 0.0000 0.0000
0.0000 3.5404 0.0000
0.0000 0.0000 10.6203
ATOMIC_POSITIONS angstrom
Cr 0.0000 0.0000 1.8098
Cr 0.0000 0.0000 8.8105
Cu 0.0000 0.0000 5.3101
Ni 0.0000 1.7702 0.0000
Ni 0.0000 1.7702 3.5124
Ni 0.0000 1.7702 7.1079
Ni 1.7702 0.0000 0.0000
Ni 1.7702 0.0000 3.5124
Ni 1.7702 0.0000 7.1079
Ni 1.7702 1.7702 1.7562
Ni 1.7702 1.7702 5.3101
Ni 1.7702 1.7702 8.8640
! - Formation enthalpy at 0 K: -1 meV per atom
! - SG: P4/mmm (123)
! - Electronic total energy: -6.282 eV per atom
! - Magnetization: 2.00 μB per cell

***

Entry 2:
! InBi2AsSe PBE-GGA relaxed; values from VASP
&SYSTEM
  ibrav = 0, nat = 5, ntyp = 4
/
ATOMIC_SPECIES
In 114.82 In.upf
Bi 208.98 Bi.upf
As 74.92 As.upf
Se 78.96 Se.upf
CELL_PARAMETERS angstrom
5.6266 0.0000 0.0000
0.0000 5.6266 0.0000
0.0000 0.0000 5.1296
ATOMIC_POSITIONS angstrom
In 0.0000 0.0000 0.0000
Bi 0.0000 2.8133 2.5648
Bi 2.8133 0.0000 2.5648
As 2.8133 2.8133 2.5648
Se 2.8133 2.8133 0.0000
! - Uncorrected formation energy: 0.38 eV per atom
! - SG: P4/mmm (123)
! - Electronic total energy: -3.345 eV per atom
! - Magnetization: 0.00 μB per cell

***

> Which of these has the highest magnetization?

Cr2CuNi9